# GGA-PBEsol NaTi2P4O14, relaxed
data_NaTi2P4O14
_chemical_formula_sum 'Na1 Ti2 P4 O14'
_cell_length_a 4.876
_cell_length_b 7.038
_cell_length_c 7.981
_cell_angle_alpha 90.84
_cell_angle_beta 93.85
_cell_angle_gamma 105.19
_symmetry_space_group_name_H-M 'P 1'
_symmetry_Int_Tables_number 1
_symmetry_space_group_name_Hall 'P 1'
loop_
_atom_site_label
_atom_site_fract_x
_atom_site_fract_y
_atom_site_fract_z
Na1 0.935 0.993 0.007
Ti1 0.498 0.498 0.000
Ti2 0.000 0.000 0.501
P1 0.006 0.621 0.753
P2 0.993 0.379 0.247
P3 0.626 0.233 0.700
P4 0.375 0.768 0.300
O1 0.266 0.550 0.809
O2 0.733 0.451 0.193
O3 0.792 0.448 0.641
O4 0.211 0.552 0.358
O5 0.827 0.099 0.697
O6 0.170 0.900 0.302
O7 0.848 0.666 0.903
O8 0.147 0.332 0.096
O9 0.370 0.171 0.573
O10 0.629 0.830 0.428
O11 0.085 0.796 0.641
O12 0.915 0.204 0.358
O13 0.548 0.257 0.881
O14 0.462 0.746 0.120
# space-group type	P1, No. 1
# formation energy without anion corrections	-2.467	eV per atom
# mass density	2.94	g cm⁻³